[1]
Density functional theory data (PBE-GGA) for Cd2TcW after structural relaxation.

Calculated values
- energy relative to the lowest polymorph listed for this composition (meV per atom) = 331.6

Structure (POSCAR):
```
Cd2TcW
1.0
-4.034 0.831 -2.511
1.411 -0.263 -2.355
-0.437 -5.272 -1.043
W Tc Cd
1 1 2
direct
0.500 0.750 0.750
0.500 0.250 0.250
0.000 0.033 0.003
0.000 0.467 0.497
```

***

[2]
Density functional theory data (PBE-GGA) for CrSiSb after structural relaxation.

Calculated values
- formation energy from raw total energies (eV/atom) = 0.31
- energy relative to the lowest polymorph listed for this composition (meV per atom) = 42.9

Structure (POSCAR):
```
CrSiSb
1.0
-2.373 -3.614 0.525
1.935 -3.727 1.154
-0.625 -1.634 3.988
Sb Si Cr
1 1 1
direct
0.000 0.000 0.000
0.500 0.500 0.500
0.250 0.250 0.250
```

***

[3]
Density functional theory data (PBE-GGA) for ErNpSc after structural relaxation.

Calculated values
- energy relative to the lowest polymorph listed for this composition (meV per atom) = 152.0

Structure (POSCAR):
```
ErNpSc
1.0
-0.801 -3.161 0.053
2.895 -0.755 -1.298
1.781 1.353 7.282
Np Sc Er
1 1 1
direct
0.671 0.671 0.343
0.325 0.325 0.651
0.003 0.003 0.006
```

***

[4]
Density functional theory data (PBE-GGA) for Hf7ZrSn3 after structural relaxation.

Calculated values
- raw total energy (eV per atom) = -8.0765

Structure (POSCAR):
```
Hf7ZrSn3
1.0
5.284 -0.060 -0.077
-2.533 7.005 0.625
-2.533 -1.092 6.947
Hf Sn Zr
7 3 1
direct
0.301 0.590 0.012
0.814 0.815 0.815
0.699 0.988 0.410
0.186 0.185 0.185
0.301 0.012 0.590
0.000 0.500 0.500
0.699 0.410 0.988
0.500 0.000 0.000
0.000 0.226 0.774
0.000 0.774 0.226
0.500 0.500 0.500
```

***

[5]
Density functional theory data (PBE-GGA) for VCoS after structural relaxation.

Calculated values
- formation energy from raw total energies (eV/atom) = -0.34
- energy relative to the lowest polymorph listed for this composition (meV per atom) = 0.0

Structure (POSCAR):
```
VCoS
1.0
3.265 0.000 0.000
0.000 3.595 0.000
0.000 -1.797 3.113
Co V S
1 1 1
direct
0.166 0.000 0.000
0.667 0.333 0.667
0.167 0.667 0.333
```

***

[6]
Density functional theory data (PBE-GGA) for SnGe2Sb2 after structural relaxation.

Calculated values
- formation energy from raw total energies (eV/atom) = 0.24
- energy relative to the lowest polymorph listed for this composition (meV per atom) = 21.3

Structure (POSCAR):
```
SnGe2Sb2
1.0
-0.824 -1.248 -7.971
-5.939 -5.330 1.448
-2.517 2.758 -0.172
Sb Ge Sn
4 4 2
direct
0.657 0.843 0.500
0.843 0.343 0.500
0.343 0.157 0.500
0.157 0.657 0.500
0.140 0.360 0.000
0.640 0.140 0.000
0.860 0.640 0.000
0.360 0.860 0.000
0.500 0.500 0.000
0.000 0.000 0.000
```

***

[7]
Density functional theory data (PBE-GGA) for LiCaTl2 after structural relaxation.

Calculated values
- raw total energy (eV per atom) = -2.3359

Structure (POSCAR):
```
LiCaTl2
1.0
-3.029 1.838 1.194
-3.127 -0.022 -2.048
-4.876 -6.902 4.108
Tl Ca Li
2 1 1
direct
0.073 0.073 0.780
0.260 0.260 0.220
0.499 0.499 0.502
0.667 0.667 0.998
```

***

[8]
Density functional theory data (PBE-GGA) for TcRuRh2 after structural relaxation.

Calculated values
- energy relative to the lowest polymorph listed for this composition (meV per atom) = 71.8

Structure (POSCAR):
```
TcRuRh2
1.0
6.028 0.001 0.004
-2.411 4.078 -0.005
1.206 0.714 2.302
Ru Rh Tc
1 2 1
direct
0.000 0.500 0.500
0.500 0.000 0.500
0.000 0.000 0.000
0.500 0.500 0.000
```

***

[9]
Density functional theory data (PBE-GGA) for La2Y9Sc after structural relaxation.

Calculated values
- raw total energy (eV per atom) = -6.1544

Structure (POSCAR):
```
La2Y9Sc
1.0
5.066 0.000 0.000
0.000 5.066 0.000
0.000 0.000 15.191
La Y Sc
2 9 1
direct
0.000 0.000 0.332
0.000 0.000 0.668
0.000 0.500 0.842
0.500 0.500 0.329
0.000 0.500 0.158
0.000 0.500 0.500
0.500 0.500 0.671
0.500 0.000 0.842
0.500 0.000 0.158
0.500 0.500 0.000
0.500 0.000 0.500
0.000 0.000 0.000
```

***

[10]
Density functional theory data (PBE-GGA) for ScTcCl2 after structural relaxation.

Calculated values
- formation energy from raw total energies (eV/atom) = -0.08
- energy relative to the lowest polymorph listed for this composition (meV per atom) = 624.2

Structure (POSCAR):
```
ScTcCl2
1.0
-1.267 -2.818 -1.132
3.092 0.270 1.095
-2.662 -2.023 8.015
Sc Cl Tc
1 2 1
direct
0.500 0.500 0.250
0.000 0.000 0.015
0.000 0.000 0.485
0.500 0.500 0.750
```

***

[11]
Density functional theory data (PBE-GGA) for Co2ReRu after structural relaxation.

Calculated values
- energy relative to the lowest polymorph listed for this composition (meV per atom) = 149.1

Structure (POSCAR):
```
Co2ReRu
1.0
8.563 -0.008 -0.005
8.155 2.614 -0.005
8.155 1.271 2.284
Co Re Ru
2 1 1
direct
0.000 0.000 0.000
0.500 0.500 0.500
0.250 0.250 0.250
0.750 0.750 0.750
```

***

[12]
Density functional theory data (PBE-GGA) for Pr2PuSn3 after structural relaxation.

Calculated values
- raw total energy (eV per atom) = -6.3926

Structure (POSCAR):
```
Pr2PuSn3
1.0
-1.475 -3.368 3.844
4.238 -4.299 -2.140
2.497 5.980 2.517
Pr Sn Pu
2 3 1
direct
0.326 0.826 0.652
0.674 0.174 0.348
0.653 0.653 0.305
0.347 0.347 0.695
0.000 0.000 0.000
0.000 0.500 0.000
```

***

Number 1: volume 70.0 Å³/f.u.. Number 2: volume 58.4 Å³/f.u.. Number 3: volume 77.2 Å³/f.u.. Number 4: volume 258.2 Å³/f.u.. Number 5: volume 36.5 Å³/f.u.. Number 6: volume 122.9 Å³/f.u.. Number 7: volume 110.7 Å³/f.u.. Number 8: volume 56.6 Å³/f.u.. Number 9: volume 389.9 Å³/f.u.. Number 10: volume 78.8 Å³/f.u.. Number 11: volume 51.4 Å³/f.u.. Number 12: volume 189.7 Å³/f.u..